Version w
Computed, not measured: an optimized crystal structure of Sr2Ru2F at the PBE-GGA level of DFT.

Properties
- Density: 5.9 Mg/m³

CIF file:
```
data_Sr2Ru2F
_chemical_formula_sum 'Sr4 Ru4 F2'
_space_group_name_H-M_alt 'I 4/m m m'
_space_group_IT_number 139
_space_group_name_Hall '-I 4 2'
_cell_length_a 3.614
_cell_length_b 3.614
_cell_length_c 17.134
_cell_angle_alpha 90.00
_cell_angle_beta 90.00
_cell_angle_gamma 90.00
loop_
_atom_site_label
_atom_site_fract_x
_atom_site_fract_y
_atom_site_fract_z
Sr1 0.000 0.000 0.105
Ru1 0.000 0.500 0.250
F1 0.000 0.000 0.500
```

Version x
Computed, not measured: an optimized crystal structure of Sr2Ru2F at the PBE-GGA level of DFT.

Properties
- Density: 5.6 Mg/m³

CIF file:
```
data_Sr2Ru2F
_chemical_formula_sum 'Sr4 Ru4 F2'
_space_group_name_H-M_alt 'P 4/m b m'
_space_group_IT_number 127
_space_group_name_Hall '-P 4 2ab'
_cell_length_a 6.855
_cell_length_b 6.855
_cell_length_c 5.035
_cell_angle_alpha 90.00
_cell_angle_beta 90.00
_cell_angle_gamma 90.00
loop_
_atom_site_label
_atom_site_fract_x
_atom_site_fract_y
_atom_site_fract_z
Sr1 0.185 0.315 0.000
Ru1 0.118 0.618 0.500
F1 0.000 0.000 0.000
```

The relative energies come out as version w 0.0; version x 36.2, with values in kJ/mol of atoms.

Version w
Computed, not measured: an optimized crystal structure of SrRu2F at the PBE-GGA level of DFT.

Properties
- Density: 7.1 Mg/m³

CIF file:
```
data_SrRu2F
_chemical_formula_sum 'Sr4 Ru8 F4'
_space_group_name_H-M_alt 'F m -3 m'
_space_group_IT_number 225
_space_group_name_Hall '-F 4 2 3'
_cell_length_a 6.618
_cell_length_b 6.618
_cell_length_c 6.618
_cell_angle_alpha 90.00
_cell_angle_beta 90.00
_cell_angle_gamma 90.00
loop_
_atom_site_label
_atom_site_fract_x
_atom_site_fract_y
_atom_site_fract_z
Sr1 0.000 0.000 0.000
Ru1 0.250 0.250 0.250
F1 0.000 0.000 0.500
```

Version x
Computed, not measured: an optimized crystal structure of SrRu2F at the PBE-GGA level of DFT.

Properties
- Density: 5.8 Mg/m³

CIF file:
```
data_SrRu2F
_chemical_formula_sum 'Sr4 Ru8 F4'
_space_group_name_H-M_alt 'I -4 2 d'
_space_group_IT_number 122
_space_group_name_Hall 'I -4 2bw'
_cell_length_a 4.623
_cell_length_b 4.623
_cell_length_c 16.606
_cell_angle_alpha 90.00
_cell_angle_beta 90.00
_cell_angle_gamma 90.00
loop_
_atom_site_label
_atom_site_fract_x
_atom_site_fract_y
_atom_site_fract_z
Sr1 0.000 0.000 0.000
Ru1 0.019 0.750 0.625
F1 0.000 0.000 0.500
```

The relative energies come out as version w 70.1; version x 0.0, with values in kJ/mol of atoms.

Version w
Computed, not measured: an optimized crystal structure of SrTc2RuF at the PBE-GGA level of DFT.

Properties
- Density: 4.9 Mg/m³

CIF file:
```
data_SrTc2RuF
_chemical_formula_sum 'Sr1 Tc2 Ru1 F1'
_space_group_name_H-M_alt 'P 4/m m m'
_space_group_IT_number 123
_space_group_name_Hall '-P 4 2'
_cell_length_a 4.597
_cell_length_b 4.597
_cell_length_c 6.499
_cell_angle_alpha 90.00
_cell_angle_beta 90.00
_cell_angle_gamma 90.00
loop_
_atom_site_label
_atom_site_fract_x
_atom_site_fract_y
_atom_site_fract_z
Sr1 0.000 0.000 0.000
Tc1 0.000 0.500 0.500
Ru1 0.000 0.000 0.500
F1 0.500 0.500 0.000
```

Version x
Computed, not measured: an optimized crystal structure of SrTc2RuF at the PBE-GGA level of DFT.

Properties
- Density: 6.6 Mg/m³

CIF file:
```
data_SrTc2RuF
_chemical_formula_sum 'Sr1 Tc2 Ru1 F1'
_space_group_name_H-M_alt 'P 4/m m m'
_space_group_IT_number 123
_space_group_name_Hall '-P 4 2'
_cell_length_a 4.959
_cell_length_b 4.959
_cell_length_c 4.153
_cell_angle_alpha 90.00
_cell_angle_beta 90.00
_cell_angle_gamma 90.00
loop_
_atom_site_label
_atom_site_fract_x
_atom_site_fract_y
_atom_site_fract_z
Sr1 0.000 0.000 0.000
Tc1 0.000 0.500 0.000
Ru1 0.500 0.500 0.500
F1 0.000 0.000 0.500
```

The relative energies come out as version w 0.0; version x 130.2, with values in kJ/mol of atoms.

Version w
Computed, not measured: an optimized crystal structure of Ta2RuF at the PBE-GGA level of DFT.

Properties
- Density: 13.1 Mg/m³

CIF file:
```
data_Ta2RuF
_chemical_formula_sum 'Ta8 Ru4 F4'
_space_group_name_H-M_alt 'F m -3 m'
_space_group_IT_number 225
_space_group_name_Hall '-F 4 2 3'
_cell_length_a 6.259
_cell_length_b 6.259
_cell_length_c 6.259
_cell_angle_alpha 90.00
_cell_angle_beta 90.00
_cell_angle_gamma 90.00
loop_
_atom_site_label
_atom_site_fract_x
_atom_site_fract_y
_atom_site_fract_z
Ta1 0.250 0.250 0.250
Ru1 0.000 0.000 0.000
F1 0.000 0.000 0.500
```

Version x
Computed, not measured: an optimized crystal structure of Ta2RuF at the PBE-GGA level of DFT.

Properties
- Density: 11.1 Mg/m³

CIF file:
```
data_Ta2RuF
_chemical_formula_sum 'Ta8 Ru4 F4'
_space_group_name_H-M_alt 'I -4 2 d'
_space_group_IT_number 122
_space_group_name_Hall 'I -4 2bw'
_cell_length_a 4.674
_cell_length_b 4.674
_cell_length_c 13.154
_cell_angle_alpha 90.00
_cell_angle_beta 90.00
_cell_angle_gamma 90.00
loop_
_atom_site_label
_atom_site_fract_x
_atom_site_fract_y
_atom_site_fract_z
Ta1 0.187 0.250 0.125
Ru1 0.000 0.000 0.500
F1 0.000 0.000 0.000
```

The relative energies come out as version w 0.0; version x 40.4, with values in kJ/mol of atoms.